The following is a DFT calculation (PBE+U) of crystalline TbWO4 at its relaxed geometry.

Cell: 3.3433 4.9659 4.9659 Å, 88.18 90.00 90.00°
Last column: magnetic moment on the atom in μB.
Fractional coordinates of all 6 atoms:
1 O 0.0000 0.8231 0.8231  0.01
2 O 0.0000 0.1769 0.1769  0.01
3 O 0.5000 0.7201 0.2799  -0.02
4 O 0.5000 0.2799 0.7201  -0.02
5 Tb 0.0000 0.5000 0.5000  0.01
6 W 0.5000 0.0000 0.0000  1.02

Values from the calculation:
Energy ... -47.87 eV per cell